Run w
Zn2SN GGA-PBE relaxed; symmetry = I-42d; D(E_F) = 0.887 states/eV/atom; V = 15.60 Å³ per atom; magnetization = 0.00 μB/f.u.
1.0
5.0550 0.0000 0.0000
0.0000 5.0550 0.0000
2.5275 2.5275 4.8840
Zn S N
4 2 2
Direct
0.5569 0.1250 0.2500
0.1931 0.6250 0.2500
0.3750 0.4431 0.7500
0.8750 0.8069 0.7500
0.0000 0.0000 0.0000
0.7500 0.2500 0.5000
0.5000 0.5000 0.0000
0.2500 0.7500 0.5000

***

Run x
Zn2SN GGA-PBE relaxed; symmetry = Fm-3m; D(E_F) = 0.794 states/eV/atom; V = 13.07 Å³ per atom; magnetization = 0.00 μB/f.u.
1.0
0.5280 -1.5744 3.8547
1.2865 2.4887 3.1253
-2.6554 1.0481 3.0768
Zn S N
2 1 1
Direct
0.2500 0.2500 0.2500
0.7500 0.7500 0.7500
0.5000 0.5000 0.5000
0.0000 0.0000 0.0000

***

Stability verdict: run w, ahead by 906 meV/atom

***

Run w
ZrZnS2N GGA-PBE relaxed; symmetry = P4/mmm; D(E_F) = 0.514 states/eV/atom; V = 21.38 Å³ per atom; magnetization = 1.22 μB/f.u.
1.0
-5.0284 -0.7662 -0.0704
0.3277 -2.5543 4.3869
-0.5652 3.5174 2.0902
Zn S Zr N
1 2 1 1
Direct
0.5000 0.5000 0.5000
0.0000 0.5000 0.0000
0.5000 0.0000 0.0000
0.0000 0.0000 0.0000
0.0000 0.0000 0.5000

***

Run x
ZrZnS2N GGA-PBE relaxed; symmetry = P4/mmm; D(E_F) = 1.042 states/eV/atom; V = 16.25 Å³ per atom; magnetization = 0.00 μB/f.u.
1.0
4.6666 0.0000 0.0000
0.0000 4.6666 0.0000
0.0000 0.0000 3.7318
Zn S Zr N
1 2 1 1
Direct
0.0000 0.0000 0.0000
0.0000 0.5000 0.0000
0.5000 0.0000 0.0000
0.5000 0.5000 0.5000
0.0000 0.0000 0.5000

***

Stability verdict: run w, ahead by 329 meV/atom

***

Run w
ZrSN GGA-PBE relaxed; symmetry = P2_1/m; D(E_F) = 0.167 states/eV/atom; V = 16.05 Å³ per atom; magnetization = 0.00 μB/f.u.
1.0
-2.6353 -1.1468 -2.9564
-1.8969 -1.9983 2.4660
-2.5075 5.4979 2.5263
Zr S N
2 2 2
Direct
0.8111 0.2500 0.6444
0.1889 0.7500 0.3556
0.2654 0.2500 0.0178
0.7346 0.7500 0.9822
0.2567 0.2500 0.5246
0.7433 0.7500 0.4754

***

Run x
ZrSN GGA-PBE relaxed; symmetry = P1; D(E_F) = 0.134 states/eV/atom; V = 17.20 Å³ per atom; magnetization = 0.00 μB/f.u.
1.0
-0.5858 0.3791 -3.3854
-0.3667 -4.5226 -0.4807
-6.5762 -1.2819 0.9164
Zr S N
2 2 2
Direct
0.2760 0.2540 0.0349
0.2761 0.5617 0.3976
0.7857 0.8600 0.9641
0.7712 0.4154 0.6826
0.7808 0.5245 0.1610
0.2787 0.0126 0.3234

***

Stability verdict: run w, ahead by 247 meV/atom

***

Run w
ZrSN GGA-PBE relaxed; symmetry = C2; D(E_F) = 0.160 states/eV/atom; V = 16.50 Å³ per atom; magnetization = 0.00 μB/f.u.
1.0
4.3836 0.0000 0.0017
0.0000 6.0611 0.0000
-1.1611 0.0000 3.7247
Zr S N
2 2 2
Direct
0.5000 0.6705 0.5000
0.5000 0.1705 0.0000
0.0000 0.9268 0.0000
0.0000 0.4268 0.5000
0.5000 0.0126 0.5000
0.5000 0.5126 0.0000

***

Run x
ZrSN GGA-PBE relaxed; symmetry = P-1; V = 15.86 Å³ per atom; magnetization = 0.00 μB/f.u.
1.0
-3.3391 0.6476 1.1976
-1.4119 -3.8520 -1.5381
0.1609 -4.2575 4.7573
Zr S N
2 2 2
Direct
0.7401 0.1847 0.6460
0.2599 0.8153 0.3540
0.0852 0.2810 0.9798
0.9148 0.7190 0.0202
0.2582 0.2644 0.4611
0.7418 0.7356 0.5389

***

Run y
ZrSN GGA-PBE relaxed; symmetry = Cm; V = 17.09 Å³ per atom; magnetization = 0.00 μB/f.u.
1.0
3.4131 0.3077 -0.0832
-0.4373 4.8071 0.0617
-1.3961 -1.8914 6.2155
Zr S N
2 2 2
Direct
0.6658 0.2520 0.9606
0.9839 0.7024 0.5970
0.2075 0.8417 0.0438
0.3413 0.3821 0.3127
0.1148 0.4945 0.8570
0.5182 0.9553 0.6652

***

Run z
ZrSN GGA-PBE relaxed; symmetry = Cm; D(E_F) = 0.174 states/eV/atom; V = 16.58 Å³ per atom; magnetization = 0.00 μB/f.u.
1.0
5.2614 0.0000 -0.0005
0.0000 3.7521 0.0000
-3.4957 0.0000 5.0391
Zr S N
2 2 2
Direct
0.2561 0.0000 0.0799
0.2561 0.5000 0.5799
0.8443 0.0000 0.4861
0.8443 0.5000 0.9861
0.3489 0.0000 0.4654
0.3489 0.5000 0.9654

***

Stability verdict: run x, ahead by 154 meV/atom

***

Run w
ZrSN GGA-PBE relaxed; symmetry = P1; V = 15.70 Å³ per atom; magnetization = 0.00 μB/f.u.
1.0
-0.6782 2.6867 -2.2502
-3.7731 0.8018 2.1449
3.1165 2.9248 4.3302
Zr S N
2 2 2
Direct
0.6062 0.2633 0.8861
0.0314 0.7618 0.5929
0.1968 0.0609 0.2230
0.3678 0.5140 0.2566
0.0486 0.2631 0.6957
0.5806 0.7650 0.7821

***

Run x
ZrSN GGA-PBE relaxed; symmetry = Cmcm; D(E_F) = 0.339 states/eV/atom; V = 14.96 Å³ per atom; magnetization = 0.00 μB/f.u.
1.0
-0.7763 1.7969 -2.5711
2.6620 -1.3210 -1.7269
-4.3417 -6.8546 -1.4490
N S Zr
2 2 2
Direct
0.6875 0.7500 0.3750
0.3125 0.2500 0.6250
0.5385 0.2500 0.0769
0.4615 0.7500 0.9231
0.8225 0.7500 0.6451
0.1775 0.2500 0.3549

***

Run y
ZrSN GGA-PBE relaxed; symmetry = R3m; D(E_F) = 0.214 states/eV/atom; V = 16.84 Å³ per atom; magnetization = 0.00 μB/f.u.
1.0
-1.4684 2.0847 -2.4838
1.0175 -3.3091 -0.8281
-12.5195 -4.7121 3.4462
Zr S N
3 3 3
Direct
0.0000 0.0000 0.1422
0.3333 0.6667 0.8089
0.6667 0.3333 0.4755
0.0000 0.0000 0.9325
0.3333 0.6667 0.5991
0.6667 0.3333 0.2658
0.0000 0.0000 0.7647
0.3333 0.6667 0.4314
0.6667 0.3333 0.0981

***

Stability verdict: run w, ahead by 288 meV/atom

***

Run w
Zr2S2N GGA-PBE relaxed; symmetry = I4/mmm; D(E_F) = 0.464 states/eV/atom; V = 16.76 Å³ per atom; magnetization = 0.00 μB/f.u.
1.0
-2.6734 4.0612 -0.2141
-1.2523 -0.5783 4.6673
0.8501 3.6454 3.2172
S Zr N
2 2 1
Direct
0.3414 0.3414 0.3173
0.6586 0.6586 0.6827
0.7500 0.2500 0.5000
0.2500 0.7500 0.5000
0.0000 0.0000 0.0000

***

Run x
Zr2S2N GGA-PBE relaxed; symmetry = Ibam; D(E_F) = 0.354 states/eV/atom; V = 17.23 Å³ per atom; magnetization = 0.00 μB/f.u.
1.0
-4.1396 2.5367 -2.2520
-2.3531 -2.9038 -5.3049
-5.6222 -3.2222 0.3457
Zr S N
4 4 2
Direct
0.0987 0.6110 0.1915
0.9013 0.3890 0.8085
0.4013 0.8085 0.3890
0.5987 0.1915 0.6110
0.3541 0.2688 0.0231
0.6459 0.7312 0.9769
0.1459 0.9769 0.7312
0.8541 0.0231 0.2688
0.2500 0.5000 0.5000
0.7500 0.5000 0.5000

***

Stability verdict: run x, ahead by 1222 meV/atom